Record 1
Entry from Alexandria via LeMat-Bulk: crystalline Eu3Br12Cl5 at its relaxed geometry (PBE).

a b c (Å): 15.4094 15.4094 15.4094
angles (deg): 109.47 109.47 109.47
Positions (direct):
Eu  0.7500  0.3750  0.1250
Eu  0.8750  0.7500  0.1250
Eu  0.3750  0.7500  0.6250
Eu  0.2500  0.1250  0.3750
Eu  0.8750  0.1250  0.2500
Eu  0.3750  0.6250  0.2500
Eu  0.6250  0.3750  0.7500
Eu  0.1250  0.8750  0.7500
Eu  0.7500  0.8750  0.6250
Eu  0.6250  0.2500  0.3750
Eu  0.1250  0.2500  0.8750
Eu  0.2500  0.6250  0.8750
Br  0.7320  0.1490  0.0684
Br  0.3364  0.5684  0.4194
Br  0.9316  0.3510  0.2680
Br  0.5684  0.2320  0.1490
Br  0.5829  0.7320  0.6636
Br  0.9316  0.5806  0.1636
Br  0.3364  0.7680  0.4171
Br  0.0806  0.9171  0.1490
Br  0.5806  0.9316  0.6636
Br  0.7320  0.5829  0.1636
Br  0.7680  0.4316  0.3510
Br  0.8364  0.9194  0.0684
Br  0.1490  0.7320  0.5684
Br  0.3510  0.4194  0.0829
Br  0.0829  0.9194  0.3510
Br  0.4171  0.1490  0.5806
Br  0.0829  0.1636  0.2320
Br  0.4316  0.6636  0.0806
Br  0.8364  0.9171  0.2680
Br  0.1490  0.4171  0.0806
Br  0.3510  0.9316  0.7680
Br  0.5806  0.6490  0.4171
Br  0.9194  0.8364  0.5684
Br  0.7680  0.3364  0.9171
Br  0.4194  0.3510  0.5829
Br  0.0806  0.1636  0.4316
Br  0.2320  0.6636  0.0829
Br  0.1636  0.0829  0.7320
Br  0.6490  0.0684  0.2320
Br  0.8510  0.5829  0.9194
Br  0.5684  0.3364  0.9194
Br  0.5829  0.8510  0.4194
Br  0.9171  0.8364  0.7680
Br  0.9171  0.0806  0.6490
Br  0.8510  0.2680  0.4316
Br  0.1636  0.0806  0.9316
Br  0.6490  0.5806  0.9171
Br  0.4194  0.0684  0.3364
Br  0.2680  0.4171  0.8364
Br  0.2320  0.5684  0.6490
Br  0.9194  0.0829  0.8510
Br  0.6636  0.2320  0.5829
Br  0.4316  0.7680  0.8510
Br  0.0684  0.4194  0.8364
Br  0.4171  0.2680  0.3364
Br  0.0684  0.6490  0.7320
Br  0.6636  0.4316  0.5806
Br  0.2680  0.8510  0.9316
Cl  0.1250  0.3750  0.2500
Cl  0.0000  0.5000  0.0000
Cl  0.0000  0.0000  0.0000
Cl  0.3750  0.2500  0.1250
Cl  0.5000  0.0000  0.5000
Cl  0.5000  0.5000  0.0000
Cl  0.1250  0.7500  0.3750
Cl  0.7500  0.1250  0.8750
Cl  0.7500  0.6250  0.3750
Cl  0.3750  0.1250  0.7500
Cl  0.6250  0.8750  0.2500
Cl  0.5000  0.5000  0.5000
Cl  0.5000  0.0000  0.0000
Cl  0.0000  0.0000  0.5000
Cl  0.2500  0.3750  0.6250
Cl  0.2500  0.8750  0.1250
Cl  0.0000  0.5000  0.5000
Cl  0.8750  0.2500  0.6250
Cl  0.6250  0.7500  0.8750
Cl  0.8750  0.6250  0.7500

Properties
formation energy without anion corrections	-52	kJ per mole of atoms



Record 2
Entry from Alexandria via LeMat-Bulk: crystalline EuBrCl at its relaxed geometry (PBE).

a b c (Å): 4.4596 7.6837 13.2713
angles (deg): 90.00 90.00 90.00
Positions (direct):
Eu  0.7500  0.7550  0.9984
Eu  0.2500  0.2450  0.0016
Eu  0.7500  0.2550  0.5016
Eu  0.2500  0.7450  0.4984
Br  0.7500  0.9164  0.6213
Br  0.2500  0.0836  0.3787
Br  0.7500  0.4164  0.8787
Br  0.2500  0.5836  0.1213
Cl  0.7500  0.0845  0.1041
Cl  0.2500  0.9155  0.8959
Cl  0.7500  0.5845  0.3959
Cl  0.2500  0.4155  0.6041

Properties
formation energy without anion corrections	-211	kJ per mole of atoms



Record 3
Entry from Alexandria via LeMat-Bulk: crystalline EuBrCl at its relaxed geometry (PBE).

a b c (Å): 5.0896 5.0896 5.0896
angles (deg): 60.00 60.00 60.00
Positions (direct):
Eu  0.2500  0.2500  0.2500
Br  0.0000  0.0000  0.0000
Cl  0.5000  0.5000  0.5000

Properties
formation energy without anion corrections	-210	kJ per mole of atoms



Record 4
Entry from Alexandria via LeMat-Bulk: crystalline EuBrCl at its relaxed geometry (PBE).

a b c (Å): 4.5731 7.8797 9.1314
angles (deg): 90.00 90.00 90.00
Positions (direct):
Eu  0.7500  0.2678  0.3765
Eu  0.2500  0.7322  0.6235
Eu  0.2500  0.2322  0.8765
Eu  0.7500  0.7678  0.1235
Br  0.7500  0.5270  0.8327
Br  0.2500  0.4730  0.1673
Br  0.2500  0.9730  0.3327
Br  0.7500  0.0270  0.6673
Cl  0.7500  0.1438  0.0672
Cl  0.2500  0.8562  0.9328
Cl  0.2500  0.3562  0.5672
Cl  0.7500  0.6438  0.4328

Properties
formation energy without anion corrections	-212	kJ per mole of atoms



Record 5
Entry from Alexandria via LeMat-Bulk: crystalline EuBrCl at its relaxed geometry (PBE).

a b c (Å): 4.4384 4.4384 6.6160
angles (deg): 90.00 90.00 120.00
Positions (direct):
Eu  0.6667  0.3333  0.3486
Br  0.0000  0.0000  0.0987
Cl  0.3333  0.6667  0.5527

Properties
formation energy without anion corrections	-210	kJ per mole of atoms



Record 6
Entry from Alexandria via LeMat-Bulk: crystalline Br3ClF at its relaxed geometry (PBE).

a b c (Å): 5.2568 5.2568 5.2568
angles (deg): 90.00 90.00 90.00
Positions (direct):
F  0.5000  0.5000  0.5000
Br  0.0000  0.5000  0.0000
Br  0.0000  0.0000  0.5000
Br  0.5000  0.0000  0.0000
Cl  0.0000  0.0000  0.0000

Properties
formation energy without anion corrections	52	kJ per mole of atoms



Record 7
Entry from Alexandria via LeMat-Bulk: crystalline Br2ClF at its relaxed geometry (PBE).

a b c (Å): 4.8357 4.8357 4.8357
angles (deg): 60.00 60.00 60.00
Positions (direct):
F  0.0000  0.0000  0.0000
Br  0.2500  0.2500  0.2500
Br  0.7500  0.7500  0.7500
Cl  0.5000  0.5000  0.5000

Properties
formation energy without anion corrections	53	kJ per mole of atoms



Record 8
Entry from Alexandria via LeMat-Bulk: crystalline BrCl4F at its relaxed geometry (PBE).

a b c (Å): 8.1116 8.1116 9.2145
angles (deg): 84.82 84.82 137.55
Positions (direct):
Br  0.4940  0.5060  0.2500
Br  0.5060  0.4940  0.7500
Cl  0.9018  0.7044  0.0897
Cl  0.7767  0.1423  0.0604
Cl  0.2956  0.0982  0.4103
Cl  0.7044  0.9018  0.5897
Cl  0.0982  0.2956  0.9103
Cl  0.1423  0.7767  0.5604
Cl  0.8577  0.2233  0.4396
Cl  0.2233  0.8577  0.9396
F  0.9045  0.0955  0.7500
F  0.0955  0.9045  0.2500

Properties
formation energy without anion corrections	9	kJ per mole of atoms



Record 9
Entry from Alexandria via LeMat-Bulk: crystalline BrCl2F8 at its relaxed geometry (PBE).

a b c (Å): 6.1475 9.4996 6.7937
angles (deg): 42.82 63.10 90.00
Positions (direct):
F  0.3645  0.0758  0.6973
F  0.9382  0.0758  0.6973
F  0.6355  0.9242  0.3027
F  0.4469  0.5975  0.1061
F  0.0618  0.9242  0.3027
F  0.9595  0.6131  0.0809
F  0.0405  0.3869  0.9191
F  0.5531  0.4025  0.8939
Br  0.0000  0.0000  0.0000
Cl  0.7535  0.5022  0.4930
Cl  0.2465  0.4978  0.5070

Properties
formation energy without anion corrections	-61	kJ per mole of atoms



Record 10
Entry from Alexandria via LeMat-Bulk: crystalline BrClF4 at its relaxed geometry (PBE).

a b c (Å): 8.7985 6.4170 7.9635
angles (deg): 101.68 86.31 39.33
Positions (direct):
Br  0.0659  0.2073  0.7882
Br  0.9341  0.7927  0.2118
Cl  0.7687  0.6963  0.7215
Cl  0.2313  0.3037  0.2785
F  0.9160  0.1272  0.7523
F  0.0840  0.8728  0.2477
F  0.2918  0.8047  0.8420
F  0.7082  0.1953  0.1580
F  0.8466  0.4825  0.0346
F  0.2701  0.9186  0.5460
F  0.7299  0.0814  0.4540
F  0.1534  0.5175  0.9654

Properties
formation energy without anion corrections	-65	kJ per mole of atoms



Record 11
Entry from Alexandria via LeMat-Bulk: crystalline Br2ClF at its relaxed geometry (PBE).

a b c (Å): 8.7731 8.7731 8.7731
angles (deg): 23.97 23.97 23.97
Positions (direct):
F  0.0000  0.0000  0.0000
Br  0.9174  0.9174  0.9174
Br  0.0826  0.0826  0.0826
Cl  0.5000  0.5000  0.5000

Properties
formation energy without anion corrections	23	kJ per mole of atoms



Record 12
Entry from Alexandria via LeMat-Bulk: crystalline Br2Cl3F at its relaxed geometry (PBE).

a b c (Å): 4.6955 7.1629 12.3966
angles (deg): 79.20 92.24 85.04
Positions (direct):
Br  0.9418  0.3909  0.3730
Br  0.0582  0.6091  0.6270
Br  0.9333  0.1382  0.1201
Br  0.0667  0.8618  0.8799
Cl  0.7698  0.6761  0.4147
Cl  0.7944  0.1455  0.8886
Cl  0.6723  0.4183  0.1411
Cl  0.2302  0.3239  0.5853
Cl  0.3277  0.5817  0.8589
Cl  0.2056  0.8545  0.1114
F  0.0945  0.1495  0.3409
F  0.9055  0.8505  0.6591

Properties
formation energy without anion corrections	-11	kJ per mole of atoms